The following is a DFT calculation (PBE) of a geometry-optimized BaSrCa2Pt structure.

**Relative energy among the computed polymorphs**: 1.3 kJ/mol of atoms
**ΔE_f**: -0.423 eV per atom
**Mass density**: 3.98 g/cm3

Unit cell a=5.7912 b=5.7912 c=6.2169 alpha=90.00 beta=90.00 gamma=90.00
Space group P4/mmm (No. 123)
Inequivalent atoms, fractional coordinates:
Ba1 0.0000 0.0000 0.0000
Sr1 0.5000 0.5000 0.0000
Ca1 0.0000 0.5000 0.5000
Pt1 0.0000 0.0000 0.5000